Entry 1:
Tm5Sb4S after structural relaxation. Source: the Alexandria database, functional PBE.

The value obtained for the formation energy without anion corrections is -1.1989 eV per atom. For the energy above the most stable polymorph in this dataset, the calculation gives 0.017 eV/atom. For the total DFT energy (no corrections), the calculation gives -5.496 eV/atom.

Cell: 4.264 4.264 29.931 Å, 90.00 90.00 90.00°
Space group I4/mmm (No. 139)
One atom of each set of equivalent atoms:
Tm: 0.000 0.000 0.000 (multiplicity 2)
Tm: 0.000 0.000 0.201 (multiplicity 4)
Tm: 0.000 0.000 0.408 (multiplicity 4)
Sb: 0.000 0.000 0.099 (multiplicity 4)
Sb: 0.000 0.000 0.304 (multiplicity 4)
S: 0.000 0.000 0.500 (multiplicity 2)

---

Entry 2:
Tm5SbS5 after structural relaxation. Source: the Alexandria database, functional PBE.

The value obtained for the formation energy without anion corrections is -1.7907 eV per atom. For the total DFT energy (no corrections), the calculation gives -6.074 eV/atom.

Cell: 12.395 5.613 7.916 Å, 90.00 108.42 90.00°
Space group C2/m (No. 12)
One atom of each set of equivalent atoms:
Tm: 0.000 0.000 0.000 (multiplicity 2)
Tm: 0.168 0.500 0.817 (multiplicity 4)
Tm: 0.171 0.500 0.350 (multiplicity 4)
Sb: 0.000 0.500 0.000 (multiplicity 2)
S: 0.000 0.500 0.500 (multiplicity 2)
S: 0.165 0.000 0.333 (multiplicity 4)
S: 0.173 0.000 0.842 (multiplicity 4)

---

Entry 3:
TmSbS4 after structural relaxation. Source: the Alexandria database, functional PBE.

The value obtained for the formation energy without anion corrections is -0.8102 eV per atom. For the total DFT energy (no corrections), the calculation gives -4.994 eV/atom.

Cell: 6.623 3.767 6.723 Å, 90.00 90.74 90.00°
Space group P2/m (No. 10)
One atom of each set of equivalent atoms:
Tm: 0.000 0.000 0.000 (multiplicity 1)
Sb: 0.500 0.500 0.000 (multiplicity 1)
S: 0.188 0.500 0.784 (multiplicity 2)
S: 0.351 0.000 0.221 (multiplicity 2)